No. 1
Ce2Ga3Ni4Au | Alexandria via LeMat-Bulk | PBE | optimized geometry; total DFT energy (no corrections) = -5.226 eV/atom; Fermi-level density of states = 1.038 states/eV/atom; formation energy = -4.906 eV per formula unit; symmetry = No. 115
1.0
3.905 0.000 0.000
0.000 3.905 0.000
0.000 0.000 11.195
Ce Ga Ni Au
2 3 4 1
Direct
0.000 0.500 0.244 Ce
0.500 0.000 0.756 Ce
0.000 0.000 0.000 Ga
0.000 0.500 0.624 Ga
0.500 0.000 0.376 Ga
0.000 0.000 0.500 Ni
0.000 0.500 0.839 Ni
0.500 0.000 0.161 Ni
0.500 0.500 0.500 Ni
0.500 0.500 0.000 Au



No. 2
Nd3SnRu | Alexandria via LeMat-Bulk | PBE | optimized geometry; total DFT energy (no corrections) = -5.932 eV/atom; Fermi-level density of states = 0.611 states/eV/atom; formation energy = -2.077 eV per formula unit; symmetry = No. 12
1.0
5.944 -2.344 0.000
5.944 2.344 0.000
-1.352 0.000 10.261
Nd Sn Ru
6 2 2
Direct
0.104 0.104 0.388 Nd
0.354 0.354 0.889 Nd
0.381 0.381 0.327 Nd
0.619 0.619 0.673 Nd
0.646 0.646 0.111 Nd
0.896 0.896 0.612 Nd
0.075 0.075 0.890 Sn
0.925 0.925 0.110 Sn
0.263 0.263 0.617 Ru
0.737 0.737 0.383 Ru



No. 3
Pm3SmDyY | Alexandria via LeMat-Bulk | PBE | optimized geometry; total DFT energy (no corrections) = -4.990 eV/atom; Fermi-level density of states = 1.383 states/eV/atom; formation energy = 0.099 eV per formula unit; symmetry = No. 11
1.0
8.084 0.000 0.000
0.000 5.122 0.000
-3.234 0.000 9.690
Pm Sm Dy Y
6 2 2 2
Direct
0.166 0.250 0.042 Pm
0.168 0.250 0.541 Pm
0.168 0.750 0.791 Pm
0.832 0.250 0.209 Pm
0.832 0.750 0.459 Pm
0.834 0.750 0.958 Pm
0.499 0.750 0.126 Sm
0.501 0.250 0.874 Sm
0.500 0.250 0.377 Dy
0.500 0.750 0.623 Dy
0.169 0.750 0.293 Y
0.831 0.250 0.707 Y



No. 4
AlTe2H2 | Alexandria via LeMat-Bulk | PBE | optimized geometry; total DFT energy (no corrections) = -3.290 eV/atom; Fermi-level density of states = 0.077 states/eV/atom; symmetry = No. 2
1.0
4.888 0.000 0.000
1.613 6.364 0.000
1.384 2.011 6.594
Al Te H
2 4 4
Direct
0.044 0.289 0.006 Al
0.956 0.711 0.994 Al
0.185 0.636 0.360 Te
0.312 0.010 0.759 Te
0.688 0.990 0.241 Te
0.815 0.364 0.640 Te
0.195 0.523 0.878 H
0.305 0.196 0.161 H
0.695 0.804 0.839 H
0.805 0.477 0.122 H



No. 5
TbDyTe2O | Alexandria via LeMat-Bulk | PBE | optimized geometry; total DFT energy (no corrections) = -6.166 eV/atom; Fermi-level density of states = 0.290 states/eV/atom; formation energy (no corrections) = -2071.1 meV/atom; symmetry = No. 129
1.0
4.130 0.000 0.000
0.000 4.130 0.000
0.000 0.000 15.845
Tb Dy Te O
2 2 4 2
Direct
0.250 0.250 0.065 Tb
0.750 0.750 0.935 Tb
0.250 0.250 0.635 Dy
0.750 0.750 0.365 Dy
0.250 0.250 0.417 Te
0.250 0.250 0.816 Te
0.750 0.750 0.184 Te
0.750 0.750 0.583 Te
0.250 0.750 0.000 O
0.750 0.250 0.000 O



No. 6
KBaCd2Au | Alexandria via LeMat-Bulk | PBE | optimized geometry; total DFT energy (no corrections) = -1.785 eV/atom; Fermi-level density of states = 0.735 states/eV/atom; formation energy = -0.796 eV per formula unit; symmetry = No. 123
1.0
5.579 0.000 0.000
0.000 5.579 0.000
0.000 0.000 6.021
K Ba Cd Au
1 1 2 1
Direct
0.000 0.000 0.000 K
0.500 0.500 0.000 Ba
0.000 0.500 0.500 Cd
0.500 0.000 0.500 Cd
0.500 0.500 0.500 Au



No. 7
Zr2SiOs | Alexandria via LeMat-Bulk | PBE | optimized geometry; total DFT energy (no corrections) = -8.918 eV/atom; Fermi-level density of states = 0.497 states/eV/atom; formation energy (no corrections) = -480.5 meV/atom; symmetry = No. 44
1.0
-1.600 2.239 5.126
1.600 -2.239 5.126
1.600 2.239 -5.126
Zr Si Os
2 1 1
Direct
0.000 0.000 0.000 Zr
0.731 0.231 0.500 Zr
0.429 0.429 0.000 Si
0.239 0.739 0.500 Os



No. 8
ZrTl2I4Br2 | Alexandria via LeMat-Bulk | PBE | optimized geometry; total DFT energy (no corrections) = -3.461 eV/atom; Fermi-level density of states = 0.000 states/eV/atom; formation energy (no corrections) = -924.4 meV/atom; symmetry = No. 12
1.0
6.843 -4.116 0.000
6.843 4.116 0.000
-4.716 0.000 6.591
Zr Tl I Br
1 2 4 2
Direct
0.000 0.000 0.000 Zr
0.241 0.241 0.718 Tl
0.759 0.759 0.282 Tl
0.199 0.702 0.707 I
0.298 0.801 0.293 I
0.702 0.199 0.707 I
0.801 0.298 0.293 I
0.227 0.227 0.135 Br
0.773 0.773 0.865 Br